No. 1
! PBE Tb3PrDy3, relaxed; values from VASP
&SYSTEM
  ibrav = 0, nat = 14, ntyp = 3
/
ATOMIC_SPECIES
Tb 158.93 Tb.upf
Pr 140.91 Pr.upf
Dy 162.50 Dy.upf
ATOMIC_POSITIONS angstrom
Tb -3.3053 0.7887 8.5862
Tb -2.3357 -2.4681 13.2707
Tb 0.9696 -3.2569 8.5862
Tb -0.9696 3.2569 13.2707
Tb 2.3357 2.4681 8.5862
Tb 3.3053 -0.7887 13.2707
Pr 0.0000 0.0000 7.6567
Pr 0.0000 0.0000 14.2002
Dy -2.1967 -2.0551 9.9211
Dy -2.8781 0.8748 11.9358
Dy 0.6815 -2.9300 11.9358
Dy -0.6815 2.9300 9.9210
Dy 2.8781 -0.8748 9.9210
Dy 2.1967 2.0551 11.9358
CELL_PARAMETERS angstrom
4.3299 2.4998 7.2856
-4.3299 2.4998 7.2856
0.0000 -4.9997 7.2856
! Total moment   0.00 μB per atom
! Polymorph energy (0 for the lowest one)   208 meV per atom
! Calculated total energy   -30.92 eV/f.u.

---

No. 2
! PBE SiAg2Mo, relaxed; values from VASP
&SYSTEM
  ibrav = 0, nat = 4, ntyp = 3
/
ATOMIC_SPECIES
Si 28.09 Si.upf
Ag 107.87 Ag.upf
Mo 95.94 Mo.upf
ATOMIC_POSITIONS angstrom
Si 0.0000 0.0000 0.0000
Ag 0.0000 2.2579 2.5134
Ag 1.4388 0.0000 2.5134
Mo 1.4388 2.2579 0.0000
CELL_PARAMETERS angstrom
2.8776 0.0000 0.0000
0.0000 4.5159 0.0000
0.0000 0.0000 5.0269
! Total moment   0.00 μB per atom
! Calculated total energy   -20.79 eV/f.u.
! Formation energy (no corrections)   28.1 kJ per mole of atoms

---

No. 3
! PBE LaSm2Dy12, relaxed; values from VASP
&SYSTEM
  ibrav = 0, nat = 30, ntyp = 3
/
ATOMIC_SPECIES
La 138.91 La.upf
Sm 150.36 Sm.upf
Dy 162.50 Dy.upf
ATOMIC_POSITIONS angstrom
La 1.7604 0.0000 0.0003
La 5.2585 0.0000 24.9848
Sm 1.7548 0.0000 6.7519
Sm 1.7435 0.0000 18.2392
Sm 5.2754 0.0000 6.7460
Sm 5.2641 0.0000 18.2333
Dy -0.0029 0.0000 3.2859
Dy 7.0297 0.0000 10.3836
Dy -0.0108 0.0000 14.6016
Dy 7.0219 0.0000 21.6993
Dy 5.2772 -2.8306 2.0434
Dy 1.7418 2.8306 22.9418
Dy 1.7542 2.8229 10.9477
Dy 3.5162 2.8310 5.0403
Dy 3.5144 2.8310 8.2047
Dy 3.5045 2.8310 16.7805
Dy 3.5027 2.8310 19.9449
Dy 3.5013 0.0000 14.6016
Dy 5.2772 2.8306 2.0434
Dy 1.7418 -2.8306 22.9418
Dy 1.7542 -2.8229 10.9477
Dy 3.5171 0.0000 3.2859
Dy 3.5018 0.0000 21.6992
Dy 5.2648 2.8229 14.0374
Dy 3.5176 0.0000 10.3836
Dy 3.5162 -2.8310 5.0403
Dy 3.5144 -2.8310 8.2047
Dy 3.5045 -2.8310 16.7805
Dy 3.5027 -2.8310 19.9449
Dy 5.2648 -2.8229 14.0374
CELL_PARAMETERS angstrom
3.5206 -5.6620 0.0000
3.5206 5.6620 0.0000
-0.0223 0.0000 24.9852
! Total moment   0.00 μB per atom
! Calculated total energy   -67.09 eV/f.u.

---

No. 4
! PBE K2Be2S, relaxed; values from VASP
&SYSTEM
  ibrav = 0, nat = 10, ntyp = 3
/
ATOMIC_SPECIES
K 39.10 K.upf
Be 9.01 Be.upf
S 32.06 S.upf
ATOMIC_POSITIONS angstrom
K 0.0000 0.0000 2.0110
K 0.0000 0.0000 18.9017
K 1.6300 1.6300 8.4453
K 1.6300 1.6300 12.4673
Be 0.0000 1.6300 5.2282
Be 0.0000 1.6300 15.6845
Be 1.6300 0.0000 5.2282
Be 1.6300 0.0000 15.6845
S 0.0000 0.0000 10.4563
S 1.6300 1.6300 0.0000
CELL_PARAMETERS angstrom
3.2600 0.0000 0.0000
0.0000 3.2600 0.0000
0.0000 0.0000 20.9126
! Total moment   0.00 μB per atom
! Polymorph energy (0 for the lowest one)   0 meV per atom
! Calculated total energy   -12.87 eV/f.u.
! Formation energy (no corrections)   17.5 kJ per mole of atoms

---

No. 5
! PBE Zr5Tl4Ag, relaxed; values from VASP
&SYSTEM
  ibrav = 0, nat = 10, ntyp = 3
/
ATOMIC_SPECIES
Zr 91.22 Zr.upf
Tl 204.38 Tl.upf
Ag 107.87 Ag.upf
ATOMIC_POSITIONS angstrom
Zr 0.0000 0.0000 0.0000
Zr 0.0000 0.0000 4.4613
Zr 0.0000 0.0000 8.8808
Zr 0.0000 0.0000 12.9030
Zr 0.0000 0.0000 17.3225
Tl 1.6005 1.6005 2.2290
Tl 1.6005 1.6005 6.6635
Tl 1.6005 1.6005 15.1203
Tl 1.6005 1.6005 19.5548
Ag 1.6005 1.6005 10.8919
CELL_PARAMETERS angstrom
3.2010 0.0000 0.0000
0.0000 3.2010 0.0000
0.0000 0.0000 21.7838
! Total moment   0.00 μB per atom
! Calculated total energy   -55.65 eV/f.u.

---

No. 6
! PBE KCuCN, relaxed; values from VASP
&SYSTEM
  ibrav = 0, nat = 4, ntyp = 4
/
ATOMIC_SPECIES
K 39.10 K.upf
Cu 63.55 Cu.upf
C 12.01 C.upf
N 14.01 N.upf
ATOMIC_POSITIONS angstrom
K 0.0000 0.0000 0.0000
Cu 2.0799 2.0799 2.5097
C 2.0799 2.0799 0.7242
N 2.0799 2.0799 4.3045
CELL_PARAMETERS angstrom
4.1598 0.0000 0.0000
0.0000 4.1598 0.0000
0.0000 0.0000 4.7975
! Total moment   0.00 μB per atom
! Polymorph energy (0 for the lowest one)   0 meV per atom
! Calculated total energy   -22.53 eV/f.u.
! Formation energy (no corrections)   5.1 kJ per mole of atoms

---

No. 7
! PBE NaPa2Pb9, relaxed; values from VASP
&SYSTEM
  ibrav = 0, nat = 12, ntyp = 3
/
ATOMIC_SPECIES
Na 22.99 Na.upf
Pa 231.04 Pa.upf
Pb 207.20 Pb.upf
ATOMIC_POSITIONS angstrom
Na 0.0000 0.0000 0.0000
Pa 0.0000 0.0000 5.1201
Pa 0.0000 0.0000 9.7878
Pb 0.0000 2.3995 2.5191
Pb 0.0000 2.3995 7.4540
Pb 0.0000 2.3995 12.3888
Pb 2.3995 0.0000 2.5191
Pb 2.3995 0.0000 7.4540
Pb 2.3995 0.0000 12.3888
Pb 2.3995 2.3995 0.0000
Pb 2.3995 2.3995 4.9758
Pb 2.3995 2.3995 9.9321
CELL_PARAMETERS angstrom
4.7991 0.0000 0.0000
0.0000 4.7991 0.0000
0.0000 0.0000 14.9079
! Total moment   0.09 μB per atom
! Calculated total energy   -53.98 eV/f.u.

---

No. 8
! PBE Mg2H5Ir2, relaxed; values from VASP
&SYSTEM
  ibrav = 0, nat = 9, ntyp = 3
/
ATOMIC_SPECIES
Mg 24.30 Mg.upf
H 1.01 H.upf
Ir 192.22 Ir.upf
ATOMIC_POSITIONS angstrom
Mg 0.0000 0.0000 0.0000
Mg 1.6430 1.1504 4.7143
H 1.6438 2.8670 2.8700
H 1.6705 1.5836 0.2283
H 3.3220 1.1467 6.0266
H 3.3226 1.1465 2.9474
H 3.3098 2.6602 1.7015
Ir 3.3218 2.8511 6.3468
Ir 3.3228 2.8553 3.3409
CELL_PARAMETERS angstrom
3.3568 0.0000 0.0000
0.0023 3.4088 0.0000
1.6466 1.2229 7.8102
! Total moment   0.00 μB per atom
! Polymorph energy (0 for the lowest one)   14 meV per atom
! Calculated total energy   -39.75 eV/f.u.